Model 1:
## CrReBr2 (GGA-PBE)

Data for crystalline CrReBr2 at its relaxed geometry.

Unit cell a=3.0402 b=3.0402 c=8.8560 alpha=90.00 beta=90.00 gamma=90.00
Closest atoms and distances in Å follow each position.
Positions (direct):
Cr (0.0000, 0.0000, 0.0000)  4 Re 2.67, 4 Br 2.81
Re (0.5000, 0.5000, 0.1789)  4 Cr 2.67, 4 Br 2.80
Br (0.0000, 0.0000, 0.3813)  4 Re 2.80, 4 Br 3.04
Br (0.5000, 0.5000, 0.7961)  4 Cr 2.81, 4 Br 3.04

Results
D(E_F) (states/eV/atom): 0.929

=====

Model 2:
## CrReBr2 (GGA-PBE)

Data for crystalline CrReBr2 at its relaxed geometry.

Unit cell a=6.2252 b=6.2252 c=6.2252 alpha=143.96 beta=143.96 gamma=51.88
Closest atoms and distances in Å follow each position.
Positions (direct):
Cr (0.0000, 0.0000, 0.0000)  4 Br 2.72
Re (0.2500, 0.7500, 0.5000)  4 Br 2.72
Br (0.5000, 0.5000, 0.0000)  4 Cr 2.72
Br (0.7500, 0.2500, 0.5000)  4 Re 2.72

Results
D(E_F) (states/eV/atom): 0.592

=====

Short version: model 1 is the most stable of them.

=====

Model 1:
## CrReBr2 (GGA-PBE)

Data for crystalline CrReBr2 at its relaxed geometry.

Unit cell a=4.4655 b=4.4655 c=4.4655 alpha=60.00 beta=60.00 gamma=60.00
Closest atoms and distances in Å follow each position.
Positions (direct):
Cr (0.0000, 0.0000, 0.0000)  8 Br 2.73
Re (0.5000, 0.5000, 0.5000)  8 Br 2.73
Br (0.2500, 0.2500, 0.2500)  4 Cr 2.73, 4 Re 2.73
Br (0.7500, 0.7500, 0.7500)  4 Cr 2.73, 4 Re 2.73

Results
D(E_F) (states/eV/atom): 1.565

=====

Model 2:
## CrReBr2 (GGA-PBE)

Data for crystalline CrReBr2 at its relaxed geometry.

Unit cell a=4.6091 b=4.6091 c=3.3098 alpha=90.00 beta=90.00 gamma=90.00
Closest atoms and distances in Å follow each position.
Positions (direct):
Cr (0.0000, 0.0000, 0.0000)  8 Br 2.84
Re (0.5000, 0.5000, 0.0000)  8 Br 2.84
Br (0.0000, 0.5000, 0.5000)  4 Cr 2.84, 4 Re 2.84
Br (0.5000, 0.0000, 0.5000)  4 Cr 2.84, 4 Re 2.84

Results
D(E_F) (states/eV/atom): 0.754

=====

Short version: model 2 is the most stable of them.

=====

Model 1:
## CrReBr2 (GGA-PBE)

Data for crystalline CrReBr2 at its relaxed geometry.

Unit cell a=4.8249 b=4.8249 c=4.8249 alpha=60.00 beta=60.00 gamma=60.00
Closest atoms and distances in Å follow each position.
Positions (direct):
Cr (0.0000, 0.0000, 0.0000)  4 Br 2.95, 4 Re 2.95
Re (0.2500, 0.2500, 0.2500)  4 Br 2.95, 4 Cr 2.95
Br (0.5000, 0.5000, 0.5000)  4 Br 2.95, 4 Re 2.95
Br (0.7500, 0.7500, 0.7500)  4 Br 2.95, 4 Cr 2.95

Results
D(E_F) (states/eV/atom): 0.704

=====

Model 2:
## CrReBr2 (GGA-PBE)

Data for crystalline CrReBr2 at its relaxed geometry.

Unit cell a=3.2752 b=3.2752 c=9.4810 alpha=100.50 beta=100.50 gamma=61.82
Closest atoms and distances in Å follow each position.
Positions (direct):
Cr (0.0000, 0.0000, 0.0000)  2 Re 2.29, 1 Br 2.46
Re (0.6298, 0.6298, 0.1617)  2 Cr 2.29
Br (0.2260, 0.2260, 0.8040)  3 Cr 2.46-2.73
Br (0.4276, 0.4276, 0.3814)  1 Re 2.58

Results
D(E_F) (states/eV/atom): 0.446

=====

Short version: model 2 is the most stable of them.